a.
The following is a DFT calculation (PBE) of a geometry-optimized PtPbCl structure.

Values from the calculation:
The crystal system is cubic. Its mass density is 9.9 g/cm³.

Cell: 4.7023 4.7023 4.7023 Å, 60.00 60.00 60.00°
Last column: nearest neighbours and their distance in Å.
Fractional positions:
Pt1 0.0000 0.0000 0.0000  4 Pb 2.88, 4 Cl 2.88
Pb1 0.7500 0.7500 0.7500  4 Pt 2.88
Cl1 0.2500 0.2500 0.2500  4 Pt 2.88



b.
The following is a DFT calculation (PBE) of a geometry-optimized PtPbCl structure.

Values from the calculation:
The crystal system is orthorhombic. Its mass density is 10.2 g/cm³.

Cell: 6.3718 6.1285 3.5892 Å, 77.07 69.63 33.30°
Last column: nearest neighbours and their distance in Å.
Fractional positions:
Pt1 0.0000 0.0000 0.0000  2 Pb 2.70, 2 Cl 2.71
Pb1 0.3653 0.3653 0.6347  2 Pt 2.70
Cl1 0.6366 0.6366 0.3634  2 Pt 2.71



a is the most stable structure; the next one sits 32 meV per atom above it.



a.
The following is a DFT calculation (PBE) of a geometry-optimized PtPbCl2 structure.

Values from the calculation:
The crystal system is monoclinic. Its mass density is 8.3 g/cm³.

Cell: 5.3439 5.3439 4.6729 Å, 112.75 112.75 108.59°
Last column: nearest neighbours and their distance in Å.
Fractional positions:
Pt1 0.0000 0.0000 0.0000  4 Cl 2.79, 2 Pb 3.12
Pb1 0.5000 0.5000 0.0000  4 Cl 2.79, 2 Pt 3.12
Cl1 0.0000 0.5000 0.5000  2 Pb 2.79, 2 Pt 2.79, 2 Cl 3.12
Cl2 0.5000 0.0000 0.5000  2 Pb 2.79, 2 Pt 2.79, 2 Cl 3.12



b.
The following is a DFT calculation (PBE) of a geometry-optimized PtPbCl2 structure.

Values from the calculation:
The crystal system is orthorhombic. Its mass density is 7.8 g/cm³.

Cell: 3.7001 3.7001 8.9484 Å, 90.00 90.00 124.62°
Last column: nearest neighbours and their distance in Å.
Fractional positions:
Pt1 0.0000 0.0000 0.0000  4 Cl 2.38
Pb1 0.0000 0.0000 0.5000  4 Cl 3.31, 6 Pb 3.44-3.70
Cl1 0.5000 0.5000 0.1842  2 Pt 2.38
Cl2 0.5000 0.5000 0.8158  2 Pt 2.38



c.
The following is a DFT calculation (PBE) of a geometry-optimized PtPbCl2 structure.

Values from the calculation:
The crystal system is monoclinic. Its mass density is 8.6 g/cm³.

Cell: 5.6489 5.6489 5.3897 Å, 118.26 118.26 37.85°
Last column: nearest neighbours and their distance in Å.
Fractional positions:
Pt1 0.0000 0.0000 0.0000  4 Cl 2.53
Pb1 0.5000 0.5000 0.5000  8 Cl 3.20-3.42, 4 Pt 3.26
Cl1 0.3119 0.3119 0.8114  2 Pt 2.53
Cl2 0.6881 0.6881 0.1886  2 Pt 2.53



c is the most stable structure; the next one sits 64 meV per atom above it.